Density functional theory data (PBE) for TbAgBi2S5 after structural relaxation. Values from VASP.

```
&SYSTEM
  ibrav = 0, nat = 18, ntyp = 4
/
ATOMIC_SPECIES
Tb 158.93 Tb.upf
Ag 107.87 Ag.upf
Bi 208.98 Bi.upf
S 32.06 S.upf
ATOMIC_POSITIONS crystal
Tb 0.204 0.796 0.500
Tb 0.796 0.204 0.000
Ag 0.436 0.564 0.939
Ag 0.564 0.436 0.439
Bi 0.090 0.910 0.744
Bi 0.158 0.842 0.186
Bi 0.842 0.158 0.686
Bi 0.910 0.090 0.244
S 0.060 0.940 0.553
S 0.296 0.704 0.153
S 0.301 0.699 0.860
S 0.349 0.651 0.549
S 0.497 0.503 0.771
S 0.503 0.497 0.271
S 0.651 0.349 0.049
S 0.699 0.301 0.360
S 0.704 0.296 0.653
S 0.940 0.060 0.053
CELL_PARAMETERS angstrom
2.017 -9.295 0.000
2.017 9.295 0.000
0.000 0.000 13.095
```

Results
For the uncorrected formation energy, the calculation gives -0.737 eV/atom.

Density functional theory data (PBE) for AgBi2TeS3 after structural relaxation. Values from VASP.

```
&SYSTEM
  ibrav = 0, nat = 14, ntyp = 4
/
ATOMIC_SPECIES
Ag 107.87 Ag.upf
Bi 208.98 Bi.upf
Te 127.60 Te.upf
S 32.06 S.upf
ATOMIC_POSITIONS crystal
Ag 0.094 0.094 0.094
Ag 0.906 0.906 0.906
Bi 0.000 0.500 0.500
Bi 0.500 0.000 0.500
Bi 0.500 0.500 0.000
Bi 0.500 0.500 0.500
Te 0.235 0.235 0.235
Te 0.765 0.765 0.765
S 0.255 0.255 0.726
S 0.255 0.726 0.255
S 0.274 0.745 0.745
S 0.726 0.255 0.255
S 0.745 0.274 0.745
S 0.745 0.745 0.274
CELL_PARAMETERS angstrom
4.089 2.361 6.848
-4.089 2.361 6.848
0.000 -4.721 6.848
```

Results
For the uncorrected formation energy, the calculation gives -0.178 eV/atom. For the density of states at the Fermi level, the calculation gives 0.454 states/eV per atom.

Density functional theory data (PBE) for AgBiTeS after structural relaxation. Values from VASP.

```
&SYSTEM
  ibrav = 0, nat = 8, ntyp = 4
/
ATOMIC_SPECIES
Ag 107.87 Ag.upf
Bi 208.98 Bi.upf
Te 127.60 Te.upf
S 32.06 S.upf
ATOMIC_POSITIONS crystal
Ag 0.250 0.750 0.000
Ag 0.750 0.250 0.000
Bi 0.250 0.250 0.346
Bi 0.750 0.750 0.654
Te 0.250 0.250 0.816
Te 0.750 0.750 0.184
S 0.250 0.750 0.500
S 0.750 0.250 0.500
CELL_PARAMETERS angstrom
4.635 0.000 0.000
0.000 4.635 0.000
0.000 0.000 9.717
```

Results
For the uncorrected formation energy, the calculation gives -0.135 eV/atom. For the density of states at the Fermi level, the calculation gives 0.314 states/eV per atom.

Density functional theory data (PBE) for Ag2BiTeS4 after structural relaxation. Values from VASP.

```
&SYSTEM
  ibrav = 0, nat = 16, ntyp = 4
/
ATOMIC_SPECIES
Ag 107.87 Ag.upf
Bi 208.98 Bi.upf
Te 127.60 Te.upf
S 32.06 S.upf
ATOMIC_POSITIONS crystal
Ag 0.000 0.000 0.000
Ag 0.000 0.000 0.500
Ag 0.000 0.500 0.000
Ag 0.500 0.000 0.500
Bi 0.500 0.500 0.000
Bi 0.500 0.500 0.500
Te 0.000 0.500 0.500
Te 0.500 0.000 0.000
S 0.192 0.712 0.442
S 0.254 0.258 0.509
S 0.258 0.254 0.009
S 0.288 0.808 0.058
S 0.712 0.192 0.942
S 0.742 0.746 0.991
S 0.746 0.742 0.491
S 0.808 0.288 0.558
CELL_PARAMETERS angstrom
5.760 -5.447 0.000
5.760 5.447 0.000
-5.405 0.000 5.789
```

Results
For the uncorrected formation energy, the calculation gives -0.053 eV/atom. For the density of states at the Fermi level, the calculation gives 0.298 states/eV per atom.

Density functional theory data (PBE) for Tl3AgBi2S6 after structural relaxation. Values from VASP.

```
&SYSTEM
  ibrav = 0, nat = 12, ntyp = 4
/
ATOMIC_SPECIES
Tl 204.38 Tl.upf
Ag 107.87 Ag.upf
Bi 208.98 Bi.upf
S 32.06 S.upf
ATOMIC_POSITIONS crystal
Tl 0.000 0.000 0.000
Tl 0.330 0.670 0.000
Tl 0.670 0.330 0.000
Ag 0.500 0.500 0.500
Bi 0.166 0.834 0.500
Bi 0.834 0.166 0.500
S 0.103 0.422 0.284
S 0.237 0.237 0.728
S 0.422 0.103 0.284
S 0.578 0.897 0.716
S 0.763 0.763 0.272
S 0.897 0.578 0.716
CELL_PARAMETERS angstrom
3.580 -6.088 0.000
3.580 6.088 0.000
-2.487 0.000 6.955
```

Results
For the uncorrected formation energy, the calculation gives -0.257 eV/atom. For the density of states at the Fermi level, the calculation gives 0.602 states/eV per atom.

Density functional theory data (PBE) for TlAg2Bi3S6 after structural relaxation. Values from VASP.

```
&SYSTEM
  ibrav = 0, nat = 12, ntyp = 4
/
ATOMIC_SPECIES
Tl 204.38 Tl.upf
Ag 107.87 Ag.upf
Bi 208.98 Bi.upf
S 32.06 S.upf
ATOMIC_POSITIONS crystal
Tl 0.000 0.000 0.000
Ag 0.332 0.332 0.682
Ag 0.668 0.668 0.318
Bi 0.000 0.000 0.500
Bi 0.334 0.334 0.166
Bi 0.666 0.666 0.834
S 0.172 0.172 0.614
S 0.177 0.177 0.090
S 0.483 0.483 0.717
S 0.517 0.517 0.283
S 0.823 0.823 0.910
S 0.828 0.828 0.386
CELL_PARAMETERS angstrom
8.692 -2.055 0.000
8.692 2.055 0.000
-1.971 0.000 8.319
```

Results
For the uncorrected formation energy, the calculation gives -0.268 eV/atom.

Values for DFT total energy, eV for the cell shown, ordered as above
-85.022; -54.763; -29.086; -59.315; -45.563; -47.687